A relaxed structure of PuTiNi2O6. Source: Alexandria via LeMat-Bulk, functional PBE with a Hubbard U.

For the density of states at the Fermi level, the calculation gives 4.12 states/eV per cell. Its total DFT energy (no corrections) is -7.577 eV per atom.

```
PuTiNi2O6
1.0
5.822 0.000 0.000
0.000 5.822 0.000
0.000 0.000 4.083
Pu Ti Ni O
1 1 2 6
direct
0.000 0.000 0.000
0.500 0.500 0.927
0.000 0.500 0.040
0.500 0.000 0.040
0.000 0.000 0.503
0.257 0.257 0.013
0.257 0.743 0.013
0.500 0.500 0.512
0.743 0.257 0.013
0.743 0.743 0.013
```